(1)
A plane-wave DFT calculation with PBE-GGA was carried out for a geometry-optimized Y5In structure.

The value obtained for the total energy is -72.0 eV for the cell shown. For the density of states at the Fermi level, the calculation gives 1.449 states/eV/atom.

It has space group Cm (No. 8), with a = 12.7474 Å, b = 3.5960 Å, c = 8.2638 Å, α = 90.00°, β = 104.81° and γ = 90.00°. Symmetry generates all atoms from Y at (0.0000, 0.0000, 0.0000), Y at (0.0300, 0.0000, 0.6121), Y at (0.1684, 0.5000, 0.3558), Y at (0.2205, 0.5000, 0.9247), Y at (0.3869, 0.0000, 0.2718) and In at (0.3225, 0.0000, 0.6650).

***

(2)
A plane-wave DFT calculation with PBE-GGA was carried out for a geometry-optimized Y2In structure.

The value obtained for the total energy is -64.9 eV for the cell shown. For the density of states at the Fermi level, the calculation gives 1.130 states/eV/atom.

It has space group I4_1/amd (No. 141, origin choice 2), with a = 3.4689 Å, b = 3.4689 Å, c = 29.7248 Å, α = 90.00°, β = 90.00° and γ = 90.00°. Symmetry generates all atoms from Y at (0.0000, 0.2500, 0.3028) and In at (0.0000, 0.2500, 0.8750).

***

(3)
A plane-wave DFT calculation with PBE-GGA was carried out for a geometry-optimized YIn2 structure.

The value obtained for the total energy is -52.0 eV for the cell shown. For the density of states at the Fermi level, the calculation gives 0.682 states/eV/atom.

It has space group P6_3/mmc (No. 194), with a = 5.9819 Å, b = 5.9819 Å, c = 9.8826 Å, α = 90.00°, β = 90.00° and γ = 120.00°. Symmetry generates all atoms from Y at (0.3333, 0.6667, 0.0707), In at (0.0000, 0.0000, 0.0000) and In at (0.1724, 0.3449, 0.7500).

***

(4)
A plane-wave DFT calculation with PBE-GGA was carried out for a geometry-optimized Y3In4 structure.

The value obtained for the total energy is -31.0 eV for the cell shown. For the density of states at the Fermi level, the calculation gives 1.069 states/eV/atom.

It has space group P6/mmm (No. 191), with a = 6.5077 Å, b = 6.5077 Å, c = 5.5867 Å, α = 90.00°, β = 90.00° and γ = 120.00°. Symmetry generates all atoms from Y at (0.0000, 0.5000, 0.0000), In at (0.0000, 0.0000, 0.2471) and In at (0.3333, 0.6667, 0.5000).

***

(5)
A plane-wave DFT calculation with PBE-GGA was carried out for a geometry-optimized Y3In4 structure.

The value obtained for the total energy is -66.8 eV for the cell shown. For the density of states at the Fermi level, the calculation gives 0.746 states/eV/atom.

It has space group Immm (No. 71), with a = 3.6962 Å, b = 4.8319 Å, c = 20.9413 Å, α = 90.00°, β = 90.00° and γ = 90.00°. Symmetry generates all atoms from Y at (0.0000, 0.0000, 0.0000), Y at (0.0000, 0.5000, 0.1982), In at (0.0000, 0.0000, 0.4321) and In at (0.0000, 0.5000, 0.3517).

***

(6)
A plane-wave DFT calculation with PBE-GGA was carried out for a geometry-optimized Y2In structure.

The value obtained for the total energy is -60.9 eV for the cell shown. For the density of states at the Fermi level, the calculation gives 0.579 states/eV/atom.

It has space group P6_3/mmc (No. 194), with a = 6.2169 Å, b = 6.2169 Å, c = 10.6116 Å, α = 90.00°, β = 90.00° and γ = 120.00°. Symmetry generates all atoms from Y at (0.0000, 0.0000, 0.0000), Y at (0.1706, 0.3412, 0.2500) and In at (0.3333, 0.6667, 0.5747).

***

(7)
A plane-wave DFT calculation with PBE-GGA was carried out for a geometry-optimized Y13In2 structure.

The value obtained for the total energy is -91.2 eV for the cell shown. For the density of states at the Fermi level, the calculation gives 1.512 states/eV/atom.

It has space group P-1 (No. 2), with a = 6.7511 Å, b = 8.5931 Å, c = 8.9562 Å, α = 66.55°, β = 78.99° and γ = 82.64°. Symmetry generates all atoms from Y at (0.0000, 0.0000, 0.0000), Y at (0.1201, 0.4832, 0.7365), Y at (0.1986, 0.2265, 0.1530), Y at (0.2540, 0.9404, 0.5797), Y at (0.3066, 0.6561, 0.9742), Y at (0.3660, 0.4116, 0.3909), Y at (0.4884, 0.1454, 0.7937) and In at (0.0608, 0.7689, 0.3770).

***

(8)
A plane-wave DFT calculation with PBE-GGA was carried out for a geometry-optimized YIn2 structure.

The value obtained for the total energy is -48.5 eV for the cell shown. For the density of states at the Fermi level, the calculation gives 0.684 states/eV/atom.

It has space group Fm-3m (No. 225), with a = 7.2031 Å, b = 7.2031 Å, c = 7.2031 Å, α = 90.00°, β = 90.00° and γ = 90.00°. Symmetry generates all atoms from Y at (0.0000, 0.0000, 0.0000) and In at (0.2500, 0.2500, 0.2500).

***

(9)
A plane-wave DFT calculation with PBE-GGA was carried out for a geometry-optimized Y5In4 structure.

The value obtained for the total energy is -95.0 eV for the cell shown. For the density of states at the Fermi level, the calculation gives 0.764 states/eV/atom.

It has space group P6_3/mcm (No. 193), with a = 9.3167 Å, b = 9.3167 Å, c = 6.6707 Å, α = 90.00°, β = 90.00° and γ = 120.00°. Symmetry generates all atoms from Y at (0.0000, 0.2887, 0.2500), Y at (0.3333, 0.6667, 0.0000), In at (0.0000, 0.0000, 0.0000) and In at (0.0000, 0.3727, 0.7500).

***

(10)
A plane-wave DFT calculation with PBE-GGA was carried out for a geometry-optimized YIn2 structure.

The value obtained for the total energy is -25.8 eV for the cell shown. For the density of states at the Fermi level, the calculation gives 0.385 states/eV/atom.

It has space group P6_3/mmc (No. 194), with a = 5.3165 Å, b = 5.3165 Å, c = 6.4149 Å, α = 90.00°, β = 90.00° and γ = 120.00°. Symmetry generates all atoms from Y at (0.3333, 0.6667, 0.2500), In at (0.0000, 0.0000, 0.0000) and In at (0.3333, 0.6667, 0.7500).

***

(11)
A plane-wave DFT calculation with PBE-GGA was carried out for a geometry-optimized Y2In structure.

The value obtained for the total energy is -33.7 eV for the cell shown. For the density of states at the Fermi level, the calculation gives 1.223 states/eV/atom.

It has space group P6_3/mmc (No. 194), with a = 5.4017 Å, b = 5.4017 Å, c = 6.7633 Å, α = 90.00°, β = 90.00° and γ = 120.00°. Symmetry generates all atoms from Y at (0.0000, 0.0000, 0.0000), Y at (0.3333, 0.6667, 0.2500) and In at (0.3333, 0.6667, 0.7500).

***

(12)
A plane-wave DFT calculation with PBE-GGA was carried out for a geometry-optimized YIn2 structure.

The value obtained for the total energy is -52.5 eV for the cell shown. For the density of states at the Fermi level, the calculation gives 0.745 states/eV/atom.

It has space group Pnma (No. 62), with a = 6.5009 Å, b = 4.5731 Å, c = 10.5449 Å, α = 90.00°, β = 90.00° and γ = 90.00°. Symmetry generates all atoms from Y at (0.1339, 0.2500, 0.1033), In at (0.1279, 0.2500, 0.4245) and In at (0.1370, 0.2500, 0.7719).

***

| no. | calculated formation energy (eV/atom) |
| --- | --- |
| 1 | -0.1574 |
| 2 | -0.1868 |
| 3 | -0.3522 |
| 4 | -0.1005 |
| 5 | -0.4383 |
| 6 | 0.1472 |
| 7 | -0.1130 |
| 8 | -0.0593 |
| 9 | -0.4720 |
| 10 | -0.3242 |
| 11 | -0.3909 |
| 12 | -0.3937 |